(1)
First-principles (PBE-GGA) data for Dy6Y8Th after structural relaxation, as listed in Alexandria via LeMat-Bulk.

Cell and atoms, written as POSCAR:
```
Dy6Y8Th
1.0
-0.870 -4.087 8.017
4.792 -7.447 1.822
6.404 0.057 5.822
Dy Y Th
6 8 1
Direct
0.105 0.538 0.125
0.768 0.895 0.875
0.462 0.768 0.875
0.538 0.232 0.125
0.232 0.105 0.125
0.895 0.462 0.875
0.888 0.282 0.582
0.752 0.112 0.418
0.718 0.752 0.418
0.423 0.423 0.732
0.577 0.577 0.268
0.282 0.248 0.582
0.248 0.888 0.582
0.112 0.718 0.418
0.000 0.000 0.000
```

* raw total energy: -0.2079 Ha/atom
* SG: R-3 (148)
* energy of formation from the pure elements: 1.887 eV per formula unit
* D(E_F): 24.0 states/eV per cell

(2)
First-principles (PBE-GGA) data for Dy3Y7Th after structural relaxation, as listed in Alexandria via LeMat-Bulk.

Cell and atoms, written as POSCAR:
```
Dy3Y7Th
1.0
9.507 -2.695 -1.236
-5.805 7.997 -1.236
-1.495 -2.141 12.996
Dy Y Th
6 14 2
Direct
0.000 0.499 0.750
0.000 0.000 0.000
0.000 0.000 0.500
0.501 0.000 0.250
0.499 0.000 0.750
0.000 0.501 0.250
0.089 0.914 0.250
0.086 0.911 0.750
0.122 0.444 0.531
0.122 0.443 0.031
0.557 0.878 0.969
0.556 0.878 0.469
0.499 0.499 0.750
0.501 0.501 0.250
0.443 0.122 0.031
0.444 0.122 0.531
0.878 0.557 0.969
0.878 0.556 0.469
0.914 0.089 0.250
0.911 0.086 0.750
0.500 0.500 0.000
0.500 0.500 0.500
```

* raw total energy: -0.2164 Ha/atom
* SG: C2/m (12)
* energy of formation from the pure elements: 1.702 eV per formula unit
* distance to the lowest polymorph of the same formula: 0.000 eV per atom
* D(E_F): 39.9 states/eV per cell

(3)
First-principles (PBE-GGA) data for Dy8Y2Th after structural relaxation, as listed in Alexandria via LeMat-Bulk.

Cell and atoms, written as POSCAR:
```
Dy8Y2Th
1.0
5.508 -0.540 -0.377
0.550 9.825 2.702
0.550 5.918 8.295
Dy Y Th
8 2 1
Direct
0.272 0.131 0.608
0.272 0.608 0.131
0.728 0.869 0.392
0.233 0.548 0.548
0.728 0.392 0.869
0.226 0.184 0.184
0.774 0.816 0.816
0.767 0.452 0.452
0.748 0.283 0.283
0.252 0.717 0.717
0.000 0.000 0.000
```

* raw total energy: -0.1841 Ha/atom
* SG: C2/m (12)
* energy of formation from the pure elements: 2.050 eV per formula unit
* distance to the lowest polymorph of the same formula: 0.159 eV per atom
* D(E_F): 18.5 states/eV per cell

(4)
First-principles (PBE-GGA) data for Dy2Y4Th after structural relaxation, as listed in Alexandria via LeMat-Bulk.

Cell and atoms, written as POSCAR:
```
Dy2Y4Th
1.0
3.558 0.000 0.000
1.779 3.082 0.000
1.779 1.027 20.875
Dy Y Th
2 4 1
Direct
0.235 0.235 0.295
0.765 0.765 0.705
0.711 0.711 0.867
0.289 0.289 0.133
0.143 0.143 0.570
0.857 0.857 0.430
0.000 0.000 0.000
```

* raw total energy: -0.2198 Ha/atom
* SG: R-3m (166)
* energy of formation from the pure elements: 0.608 eV per formula unit
* distance to the lowest polymorph of the same formula: 0.065 eV per atom
* D(E_F): 11.3 states/eV per cell

(5)
First-principles (PBE-GGA) data for Dy3Y2Th2 after structural relaxation, as listed in Alexandria via LeMat-Bulk.

Cell and atoms, written as POSCAR:
```
Dy3Y2Th2
1.0
3.520 0.494 -0.404
0.869 8.982 2.776
-1.095 1.220 7.767
Dy Y Th
3 2 2
Direct
0.000 0.000 0.000
0.295 0.566 0.157
0.705 0.434 0.843
0.575 0.141 0.291
0.425 0.859 0.709
0.142 0.288 0.573
0.858 0.712 0.427
```

* raw total energy: -0.2173 Ha/atom
* SG: P-1 (2)
* energy of formation from the pure elements: 0.187 eV per formula unit
* distance to the lowest polymorph of the same formula: 0.000 eV per atom
* D(E_F): 9.5 states/eV per cell

(6)
First-principles (PBE-GGA) data for Dy12Y6Th after structural relaxation, as listed in Alexandria via LeMat-Bulk.

Cell and atoms, written as POSCAR:
```
Dy12Y6Th
1.0
-3.505 2.741 -7.500
1.423 -8.371 -1.990
-7.226 -0.818 4.813
Dy Y Th
12 6 1
Direct
0.755 0.245 0.500
0.346 0.075 0.346
0.346 0.346 0.075
0.925 0.654 0.654
0.654 0.654 0.925
0.654 0.925 0.654
0.500 0.755 0.245
0.245 0.500 0.755
0.245 0.755 0.500
0.500 0.245 0.755
0.755 0.500 0.245
0.075 0.346 0.346
0.894 0.335 0.894
0.894 0.894 0.335
0.335 0.894 0.894
0.106 0.106 0.665
0.106 0.665 0.106
0.665 0.106 0.106
0.000 0.000 0.000
```

* raw total energy: -0.1880 Ha/atom
* SG: R-3m (166)
* energy of formation from the pure elements: 4.206 eV per formula unit
* distance to the lowest polymorph of the same formula: 0.073 eV per atom
* D(E_F): 36.8 states/eV per cell

(7)
First-principles (PBE-GGA) data for Dy6Y2Th after structural relaxation, as listed in Alexandria via LeMat-Bulk.

Cell and atoms, written as POSCAR:
```
Dy6Y2Th
1.0
3.574 0.000 0.000
-1.787 3.095 0.000
0.000 0.000 26.264
Dy Y Th
6 2 1
Direct
0.667 0.333 0.890
0.333 0.667 0.435
0.333 0.667 0.782
0.333 0.667 0.218
0.333 0.667 0.565
0.667 0.333 0.110
0.667 0.333 0.328
0.667 0.333 0.672
0.333 0.667 0.000
```

* raw total energy: -0.1936 Ha/atom
* SG: P-6m2 (187)
* energy of formation from the pure elements: 0.545 eV per formula unit
* D(E_F): 17.5 states/eV per cell

(8)
First-principles (PBE-GGA) data for DyY3Th5 after structural relaxation, as listed in Alexandria via LeMat-Bulk.

Cell and atoms, written as POSCAR:
```
DyY3Th5
1.0
-2.657 8.791 1.040
-8.667 -2.363 -2.174
4.278 -4.443 7.420
Dy Y Th
2 6 10
Direct
0.750 0.250 0.500
0.250 0.750 0.500
0.604 0.104 0.000
0.396 0.896 0.000
0.896 0.604 0.000
0.104 0.396 0.000
0.250 0.250 0.500
0.750 0.750 0.500
0.081 0.581 0.746
0.664 0.164 0.746
0.164 0.081 0.746
0.581 0.664 0.746
0.919 0.419 0.254
0.336 0.836 0.254
0.836 0.919 0.254
0.419 0.336 0.254
0.500 0.500 0.000
0.000 0.000 0.000
```

* raw total energy: -0.2324 Ha/atom
* SG: I4/mcm (140)
* energy of formation from the pure elements: 4.181 eV per formula unit
* D(E_F): 33.3 states/eV per cell

(9)
First-principles (PBE-GGA) data for Dy3Y8Th2 after structural relaxation, as listed in Alexandria via LeMat-Bulk.

Cell and atoms, written as POSCAR:
```
Dy3Y8Th2
1.0
-0.783 2.007 -5.303
3.724 -5.754 -2.728
-10.695 -2.494 0.636
Dy Y Th
3 8 2
Direct
0.500 0.000 0.000
0.000 0.272 0.000
0.000 0.728 0.000
0.000 0.670 0.339
0.000 0.330 0.661
0.000 0.141 0.281
0.000 0.859 0.719
0.500 0.609 0.782
0.500 0.173 0.782
0.500 0.827 0.218
0.500 0.391 0.218
0.500 0.245 0.491
0.500 0.755 0.509
```

* raw total energy: -0.2169 Ha/atom
* SG: Cmmm (65)
* energy of formation from the pure elements: 3.617 eV per formula unit
* distance to the lowest polymorph of the same formula: 0.123 eV per atom
* D(E_F): 24.5 states/eV per cell

(10)
First-principles (PBE-GGA) data for Dy7Y3Th after structural relaxation, as listed in Alexandria via LeMat-Bulk.

Cell and atoms, written as POSCAR:
```
Dy7Y3Th
1.0
9.429 -2.614 -1.245
-5.702 7.952 -1.245
-1.519 -2.175 12.962
Dy Y Th
14 6 2
Direct
0.088 0.914 0.250
0.086 0.912 0.750
0.118 0.441 0.527
0.118 0.440 0.027
0.560 0.882 0.973
0.559 0.882 0.473
0.500 0.500 0.750
0.500 0.500 0.250
0.440 0.118 0.027
0.441 0.118 0.527
0.882 0.560 0.973
0.882 0.559 0.473
0.914 0.088 0.250
0.912 0.086 0.750
0.000 0.500 0.750
0.000 0.000 0.000
0.000 0.000 0.500
0.500 0.000 0.250
0.500 0.000 0.750
0.000 0.500 0.250
0.500 0.500 0.000
0.500 0.500 0.500
```

* raw total energy: -0.1914 Ha/atom
* SG: C2/m (12)
* energy of formation from the pure elements: 1.739 eV per formula unit
* distance to the lowest polymorph of the same formula: 0.000 eV per atom
* D(E_F): 35.4 states/eV per cell

(11)
First-principles (PBE-GGA) data for Dy4Y2Th3 after structural relaxation, as listed in Alexandria via LeMat-Bulk.

Cell and atoms, written as POSCAR:
```
Dy4Y2Th3
1.0
3.563 0.000 0.000
-1.781 3.086 0.000
0.000 0.000 26.460
Dy Y Th
4 2 3
Direct
0.000 0.000 0.543
0.667 0.333 0.435
0.667 0.333 0.217
0.000 0.000 0.762
0.667 0.333 0.091
0.667 0.333 0.871
0.000 0.000 0.983
0.000 0.000 0.323
0.667 0.333 0.653
```

* raw total energy: -0.2159 Ha/atom
* SG: P3m1 (156)
* energy of formation from the pure elements: 0.728 eV per formula unit
* D(E_F): 18.3 states/eV per cell

(12)
First-principles (PBE-GGA) data for Dy4YTh3 after structural relaxation, as listed in Alexandria via LeMat-Bulk.

Cell and atoms, written as POSCAR:
```
Dy4YTh3
1.0
-3.055 -2.357 -3.233
-3.586 -5.682 7.532
-7.175 6.873 1.769
Y Th Dy
2 6 8
Direct
0.064 0.377 0.000
0.564 0.623 0.500
0.564 0.625 0.000
0.064 0.623 0.247
0.564 0.377 0.253
0.064 0.375 0.500
0.564 0.377 0.747
0.064 0.623 0.753
0.064 0.870 0.000
0.564 0.125 0.000
0.064 0.127 0.251
0.564 0.873 0.249
0.064 0.875 0.500
0.564 0.130 0.500
0.564 0.873 0.751
0.064 0.127 0.749
```

* raw total energy: -0.2153 Ha/atom
* SG: Pmmn (59)
* energy of formation from the pure elements: 0.271 eV per formula unit
* D(E_F): 22.6 states/eV per cell

(13)
First-principles (PBE-GGA) data for Dy9YTh2 after structural relaxation, as listed in Alexandria via LeMat-Bulk.

Cell and atoms, written as POSCAR:
```
Dy9YTh2
1.0
5.027 0.000 0.000
0.000 5.027 0.000
0.000 0.000 15.015
Dy Y Th
9 1 2
Direct
0.500 0.500 0.000
0.500 0.500 0.333
0.500 0.500 0.667
0.500 0.000 0.169
0.500 0.000 0.500
0.500 0.000 0.831
0.000 0.500 0.169
0.000 0.500 0.500
0.000 0.500 0.831
0.000 0.000 0.000
0.000 0.000 0.335
0.000 0.000 0.665
```

* raw total energy: -0.1909 Ha/atom
* SG: P4/mmm (123)
* energy of formation from the pure elements: 0.403 eV per formula unit
* D(E_F): 17.7 states/eV per cell

(14)
First-principles (PBE-GGA) data for Dy4Y5Th4 after structural relaxation, as listed in Alexandria via LeMat-Bulk.

Cell and atoms, written as POSCAR:
```
Dy4Y5Th4
1.0
4.898 0.000 1.245
2.449 9.095 0.623
0.208 0.000 9.437
Dy Y Th
4 5 4
Direct
0.766 0.387 0.080
0.234 0.613 0.920
0.846 0.920 0.387
0.154 0.080 0.613
0.695 0.843 0.767
0.305 0.157 0.233
0.000 0.000 0.000
0.538 0.767 0.157
0.462 0.233 0.843
0.925 0.462 0.689
0.613 0.311 0.462
0.075 0.538 0.311
0.387 0.689 0.538
```

* raw total energy: -0.2261 Ha/atom
* SG: I4/m (87)
* energy of formation from the pure elements: 0.416 eV per formula unit
* D(E_F): 18.8 states/eV per cell

(15)
First-principles (PBE-GGA) data for Dy7Y12Th after structural relaxation, as listed in Alexandria via LeMat-Bulk.

Cell and atoms, written as POSCAR:
```
Dy7Y12Th
1.0
-0.406 4.851 -8.473
4.695 -8.469 -1.317
-9.070 -1.764 3.181
Dy Y Th
7 12 1
Direct
0.500 0.500 0.000
0.000 0.500 0.500
0.500 0.000 0.500
0.500 0.500 0.500
0.000 0.000 0.500
0.500 0.000 0.000
0.000 0.500 0.000
0.504 0.752 0.752
0.001 0.752 0.248
0.496 0.248 0.248
0.999 0.248 0.752
0.752 0.999 0.248
0.752 0.504 0.752
0.248 0.001 0.752
0.248 0.496 0.248
0.752 0.752 0.504
0.248 0.248 0.496
0.752 0.248 0.001
0.248 0.752 0.999
0.000 0.000 0.000
```

* raw total energy: -0.1884 Ha/atom
* SG: Im-3m (229)
* energy of formation from the pure elements: 14.665 eV per formula unit
* distance to the lowest polymorph of the same formula: 0.488 eV per atom
* D(E_F): 28.3 states/eV per cell

(16)
First-principles (PBE-GGA) data for Dy8Y2Th3 after structural relaxation, as listed in Alexandria via LeMat-Bulk.

Cell and atoms, written as POSCAR:
```
Dy8Y2Th3
1.0
6.430 0.000 1.586
0.000 9.234 0.000
-0.559 -4.617 7.401
Dy Y Th
8 2 3
Direct
0.128 0.582 0.164
0.872 0.418 0.836
0.712 0.196 0.392
0.288 0.804 0.608
0.434 0.566 0.775
0.434 0.209 0.775
0.566 0.791 0.225
0.566 0.434 0.225
0.204 0.212 0.424
0.796 0.788 0.576
0.500 0.000 0.000
0.000 0.169 0.000
0.000 0.831 0.000
```

* raw total energy: -0.1932 Ha/atom
* SG: C2/m (12)
* energy of formation from the pure elements: 3.651 eV per formula unit
* distance to the lowest polymorph of the same formula: 0.010 eV per atom
* D(E_F): 21.2 states/eV per cell

(17)
First-principles (PBE-GGA) data for Dy8Y4Th3 after structural relaxation, as listed in Alexandria via LeMat-Bulk.

Cell and atoms, written as POSCAR:
```
Dy8Y4Th3
1.0
6.770 -0.090 -0.130
-3.247 8.475 1.569
-3.247 -1.471 8.493
Dy Y Th
8 4 3
Direct
0.791 0.299 0.299
0.000 0.703 0.297
0.247 0.247 0.247
0.500 0.752 0.248
0.500 0.248 0.752
0.753 0.753 0.753
0.000 0.297 0.703
0.209 0.701 0.701
0.500 0.000 0.000
0.000 0.500 0.000
0.000 0.000 0.000
0.000 0.000 0.500
0.500 0.500 0.000
0.500 0.000 0.500
0.500 0.500 0.500
```

* raw total energy: -0.1932 Ha/atom
* SG: C2/m (12)
* energy of formation from the pure elements: 6.066 eV per formula unit
* D(E_F): 28.5 states/eV per cell

(18)
First-principles (PBE-GGA) data for Dy4Y6Th after structural relaxation, as listed in Alexandria via LeMat-Bulk.

Cell and atoms, written as POSCAR:
```
Dy4Y6Th
1.0
7.610 0.000 0.000
0.000 7.610 0.000
-3.805 -3.805 6.560
Dy Y Th
4 6 1
Direct
0.095 0.755 0.850
0.905 0.905 0.150
0.755 0.095 0.850
0.245 0.245 0.150
0.926 0.444 0.369
0.444 0.926 0.369
0.556 0.556 0.631
0.000 0.500 0.000
0.074 0.074 0.631
0.500 0.000 0.000
0.500 0.500 0.000
```

* raw total energy: -0.1991 Ha/atom
* SG: I-42m (121)
* energy of formation from the pure elements: 5.005 eV per formula unit
* distance to the lowest polymorph of the same formula: 0.316 eV per atom
* D(E_F): 16.4 states/eV per cell

(19)
First-principles (PBE-GGA) data for Dy2Y6Th after structural relaxation, as listed in Alexandria via LeMat-Bulk.

Cell and atoms, written as POSCAR:
```
Dy2Y6Th
1.0
7.423 0.000 0.000
3.711 6.428 0.000
3.711 2.143 6.471
Dy Y Th
2 6 1
Direct
0.754 0.754 0.738
0.580 0.580 0.259
0.780 0.264 0.691
0.264 0.780 0.691
0.264 0.264 0.691
0.045 0.616 0.294
0.045 0.045 0.294
0.616 0.045 0.294
0.317 0.317 0.050
```

* raw total energy: -0.2112 Ha/atom
* SG: R3m (160)
* energy of formation from the pure elements: 3.685 eV per formula unit
* distance to the lowest polymorph of the same formula: 0.254 eV per atom
* D(E_F): 12.2 states/eV per cell